Entry 1:
This record from Alexandria via LeMat-Bulk describes KIn2PbCl5 after structural relaxation. The functional is GGA-PBE.

Lattice parameters (Å, degrees): 9.4531 9.4531 16.0662 90.00 90.00 153.08
Last column: nearest neighbours and their distance in Å.
Sites, in units of the cell vectors:
K 0.0464 0.9536 0.5000  5 Cl 3.06-3.15
K 0.9536 0.0464 0.0000  5 Cl 3.06-3.15
In 0.3615 0.6385 0.3133  5 Cl 3.04-3.40
In 0.4302 0.5698 0.7171  6 Cl 3.09-3.35
In 0.5698 0.4302 0.2171  6 Cl 3.09-3.35
In 0.6385 0.3615 0.8133  5 Cl 3.04-3.40
Pb 0.2594 0.7406 0.0876  6 Cl 2.88-2.97
Pb 0.7406 0.2594 0.5876  6 Cl 2.88-2.97
Cl 0.0250 0.9750 0.8278  4 In 3.04-3.32, 1 K 3.06
Cl 0.1027 0.8973 0.0874  1 Pb 2.88, 1 K 3.08, 2 In 3.09
Cl 0.2159 0.7841 0.4704  2 Pb 2.93, 1 K 3.15
Cl 0.2479 0.7521 0.7111  2 Pb 2.97
Cl 0.4160 0.5840 0.1273  1 Pb 2.95, 2 K 3.08, 2 In 3.15-3.17
Cl 0.5840 0.4160 0.6273  1 Pb 2.95, 2 K 3.08, 2 In 3.15-3.17
Cl 0.7521 0.2479 0.2111  2 Pb 2.97
Cl 0.7841 0.2159 0.9704  2 Pb 2.93, 1 K 3.15
Cl 0.8973 0.1027 0.5874  1 Pb 2.88, 1 K 3.08, 2 In 3.09
Cl 0.9750 0.0250 0.3278  4 In 3.04-3.32, 1 K 3.06

Summary:
SG: Cmc2_1
DFT total energy (eV for the cell shown): -59.9

---

Entry 2:
This record from Alexandria via LeMat-Bulk describes La3TmH8 after structural relaxation. The functional is GGA-PBE.

Lattice parameters (Å, degrees): 5.4866 5.4866 5.4866 90.00 90.00 90.00
Last column: nearest neighbours and their distance in Å.
Sites, in units of the cell vectors:
La 0.0000 0.0000 0.5000  8 H 2.43
La 0.0000 0.5000 0.0000  8 H 2.43
La 0.5000 0.0000 0.0000  8 H 2.43
Tm 0.5000 0.5000 0.5000  8 H 2.23
H 0.2651 0.2651 0.2651  1 Tm 2.23, 3 La 2.43
H 0.2651 0.2651 0.7349  1 Tm 2.23, 3 La 2.43
H 0.2651 0.7349 0.2651  1 Tm 2.23, 3 La 2.43
H 0.2651 0.7349 0.7349  1 Tm 2.23, 3 La 2.43
H 0.7349 0.2651 0.2651  1 Tm 2.23, 3 La 2.43
H 0.7349 0.2651 0.7349  1 Tm 2.23, 3 La 2.43
H 0.7349 0.7349 0.2651  1 Tm 2.23, 3 La 2.43
H 0.7349 0.7349 0.7349  1 Tm 2.23, 3 La 2.43

Summary:
SG: Pm-3m
DFT total energy (eV for the cell shown): -54.0

---

- What is the DFT total energy in the second record?
  -54.0 eV for the cell shown

---

- Number 1 is which compound?
  KIn2PbCl5

---

- Look up the DFT total energy of the first one.
  -59.9 eV for the cell shown